Material: UI2Cl
Method: DFT, PBE
State: optimized geometry

Structure (POSCAR):
```
UI2Cl
1.0
-1.1894 1.3890 -3.6793
0.7327 -7.7579 -0.8780
-9.3898 -1.1800 2.5900
I U Cl
4 2 2
Direct
0.1462 0.2918 0.4385
0.1462 0.2918 0.0615
0.8538 0.7082 0.5615
0.8538 0.7082 0.9385
0.7584 0.5168 0.2500
0.2416 0.4832 0.7500
0.3780 0.7567 0.2500
0.6220 0.2433 0.7500
```

Values from the calculation:
Raw formation energy, eV/atom: -1.125
Crystal system: orthorhombic
ΔE to the lowest computed polymorph, meV per atom: 0
N(E_F), states/eV per cell: 7.0
DFT total energy, eV per atom: -5.183



Material: Ce3PrTh2Sb6
Method: DFT, PBE
State: optimized geometry

Structure (POSCAR):
```
Ce3PrTh2Sb6
1.0
-3.9317 -2.6929 6.1840
0.7035 -4.4125 -6.4022
7.3170 -0.5508 2.7699
Th Ce Pr Sb
2 3 1 6
Direct
0.6670 0.3330 0.0000
0.3330 0.6670 0.0000
0.5000 0.5000 0.5000
0.1658 0.8342 0.5000
0.8342 0.1658 0.5000
0.0000 0.0000 0.0000
0.7480 0.7480 0.2513
0.2520 0.2520 0.7487
0.4196 0.0840 0.2517
0.5804 0.9160 0.7483
0.0840 0.4196 0.2517
0.9160 0.5804 0.7483
```

Values from the calculation:
Raw formation energy, eV/atom: -1.042
Crystal system: monoclinic
N(E_F), states/eV per cell: 23.4
DFT total energy, eV per atom: -6.221



Material: NdHo2InAu4
Method: DFT, PBE
State: optimized geometry

Structure (POSCAR):
```
NdHo2InAu4
1.0
-4.5718 1.6188 1.3436
-4.0348 -2.8954 -0.8152
-1.8819 -3.9379 7.7662
Nd Ho Au In
1 2 4 1
Direct
0.0000 0.0000 0.0000
0.2415 0.2415 0.2754
0.7585 0.7585 0.7246
0.8794 0.8794 0.3619
0.6274 0.6274 0.1178
0.3726 0.3726 0.8822
0.1206 0.1206 0.6381
0.5000 0.5000 0.5000
```

Values from the calculation:
Crystal system: trigonal
N(E_F), states/eV per cell: 4.9
DFT total energy, eV per atom: -4.466
Energy of formation from the pure elements, meV/atom: -744



Material: SrMg6Ti
Method: DFT, PBE
State: optimized geometry

Structure (POSCAR):
```
SrMg6Ti
1.0
3.3028 -5.7243 0.0000
3.3028 5.7243 0.0000
0.0000 0.0000 5.2178
Mg Sr Ti
6 1 1
Direct
0.0655 0.4077 0.0000
0.4006 0.0755 0.5000
0.9252 0.0748 0.5000
0.9245 0.5994 0.5000
0.5923 0.9345 0.0000
0.5921 0.4079 0.0000
0.4164 0.5836 0.5000
0.0833 0.9167 0.0000
```

Values from the calculation:
Crystal system: hexagonal
ΔE to the lowest computed polymorph, meV per atom: 34
N(E_F), states/eV per cell: 6.1
DFT total energy, eV per atom: -2.249
Energy of formation from the pure elements, meV/atom: 144



Material: LaCl2
Method: DFT, PBE
State: optimized geometry

Structure (POSCAR):
```
LaCl2
1.0
2.5551 -4.4256 0.0000
2.5551 4.4256 0.0000
0.0000 0.0000 6.1842
La Cl
2 4
Direct
0.6667 0.3333 0.2500
0.3333 0.6667 0.7500
0.3333 0.6667 0.2500
0.0000 0.0000 0.5000
0.6667 0.3333 0.7500
0.0000 0.0000 0.0000
```

Values from the calculation:
Raw formation energy, eV/atom: -1.929
Crystal system: hexagonal
N(E_F), states/eV per cell: 2.8
DFT total energy, eV per atom: -4.803



Material: PaH6Ru3
Method: DFT, PBE
State: optimized geometry

Structure (POSCAR):
```
PaH6Ru3
1.0
4.2848 -0.0007 -2.2979
-2.7571 4.0049 0.0025
0.0674 0.0501 5.2761
H Pa Ru
6 1 3
Direct
0.5644 0.4330 0.2645
0.3304 0.9140 0.7609
0.8316 0.1310 0.2641
0.1327 0.6999 0.2640
0.3437 0.4301 0.7610
0.8475 0.4171 0.7612
0.7790 0.8897 0.6690
0.6619 0.3310 0.9931
0.3623 0.6812 0.0430
0.1464 0.0730 0.2191
```

Values from the calculation:
Crystal system: trigonal
N(E_F), states/eV per cell: 3.9
DFT total energy, eV per atom: -5.899